The following is a DFT calculation (PBE) of a relaxed MnCr3Ga crystal.

Calculated values
- DOS(E_F) (states/eV/atom) = 1.768
- DFT total energy (eV/atom) = -6.369
- symmetry = Pm-3m (221)
- formation energy from the elements (meV/atom) = 1845

Lattice parameters (Å, degrees): 4.3579 4.3579 4.3579 90.00 90.00 90.00
With the nearest neighbours (Å) after each atom.
Fractional positions:
Mn1 0.0000 0.0000 0.0000  12 Cr 3.08
Cr1 0.0000 0.5000 0.5000  2 Ga 2.18
Cr2 0.5000 0.0000 0.5000  2 Ga 2.18
Cr3 0.5000 0.5000 0.0000  2 Ga 2.18
Ga1 0.5000 0.5000 0.5000  6 Cr 2.18



The following is a DFT calculation (PBE) of a relaxed LaPaPdO6 crystal.

Calculated values
- DFT total energy (eV/atom) = -7.845
- symmetry = P312 (149)
- ΔE_f (raw) (eV per atom) = -2.360

Lattice parameters (Å, degrees): 5.5175 5.5175 4.9325 90.00 90.00 120.00
With the nearest neighbours (Å) after each atom.
Fractional positions:
La1 0.0000 0.0000 0.0000  6 O 2.39
Pa1 0.6667 0.3333 0.5000  6 O 2.19
Pd1 0.3333 0.6667 0.0000  6 O 2.07
O1 0.0114 0.3793 0.2438  1 Pd 2.07, 1 Pa 2.19
O2 0.0114 0.6320 0.7562  1 Pd 2.07, 1 Pa 2.19
O3 0.3680 0.3793 0.7562  1 Pd 2.07, 1 Pa 2.19
O4 0.3680 0.9886 0.2438  1 Pd 2.07, 1 Pa 2.19
O5 0.6207 0.6320 0.2438  1 Pd 2.07, 1 Pa 2.19
O6 0.6207 0.9886 0.7562  1 Pd 2.07, 1 Pa 2.19



The following is a DFT calculation (PBE) of a relaxed NbTeHPd crystal.

Calculated values
- DOS(E_F) (states/eV/atom) = 0.607
- DFT total energy (eV/atom) = -5.571
- symmetry = Amm2 (38)

Lattice parameters (Å, degrees): 3.4550 3.2946 11.4436 90.00 90.00 90.00
With the nearest neighbours (Å) after each atom.
Fractional positions:
Nb1 0.0000 0.0000 0.0000  2 H 2.07
Nb2 0.0000 0.5000 0.5000  2 H 2.07
Te1 0.5000 0.0000 0.3642  2 Pd 2.84, 4 Nb 2.85
Te2 0.5000 0.5000 0.8642  2 Pd 2.84, 4 Nb 2.85
H1 0.0000 0.0000 0.6100  2 Pd 1.83
H2 0.0000 0.5000 0.1100  2 Pd 1.83
Pd1 0.5000 0.0000 0.6616  2 H 1.83
Pd2 0.5000 0.5000 0.1616  2 H 1.83



The following is a DFT calculation (PBE) of a relaxed Ag2C crystal.

Calculated values
- DOS(E_F) (states/eV/atom) = 0.369
- DFT total energy (eV/atom) = -3.585
- symmetry = Cmcm (63)
- formation energy from the elements (meV/atom) = 1391

Lattice parameters (Å, degrees): 2.8915 8.1886 7.4914 90.00 90.00 90.00
With the nearest neighbours (Å) after each atom.
Fractional positions:
Ag1 0.0000 0.0000 0.0000  4 C 2.41
Ag2 0.0000 0.0000 0.5000  4 C 2.41
Ag3 0.0000 0.2733 0.2500  3 C 2.29-2.31
Ag4 0.0000 0.7267 0.7500  3 C 2.29-2.31
Ag5 0.5000 0.2267 0.7500  3 C 2.29-2.31
Ag6 0.5000 0.5000 0.0000  4 C 2.41
Ag7 0.5000 0.5000 0.5000  4 C 2.41
Ag8 0.5000 0.7733 0.2500  3 C 2.29-2.31
C1 0.0000 0.4469 0.7500  7 Ag 2.29-2.41
C2 0.0000 0.5531 0.2500  7 Ag 2.29-2.41
C3 0.5000 0.0531 0.2500  7 Ag 2.29-2.41
C4 0.5000 0.9469 0.7500  7 Ag 2.29-2.41



What are the calculated volume values for these records? In order: 82.8, 130.0, 130.3, 177.4 Å³ per cell.